VASP calculation (GGA+U) on a relaxed FeBr3F crystal.

a b c (Å): 5.0789 5.0789 5.0789
angles (deg): 90.00 90.00 90.00
Fractional coordinates of all 5 atoms:
Fe 0.0000 0.0000 0.0000
Br 0.0000 0.0000 0.5000
Br 0.0000 0.5000 0.0000
Br 0.5000 0.0000 0.0000
F 0.5000 0.5000 0.5000

Results
Its symmetry is Pm-3m. The value obtained for the polymorph energy (0 for the lowest one) is 0.00 eV per formula unit.

***

VASP calculation (GGA+U) on a relaxed FeBrF3 crystal.

a b c (Å): 5.5380 4.9377 6.9558
angles (deg): 90.00 109.05 90.00
Fractional coordinates of all 10 atoms:
Fe 0.2266 0.0000 0.4473
Fe 0.7734 0.5000 0.5527
Br 0.4365 0.8769 0.9671
Br 0.5635 0.3769 0.0329
F 0.0501 0.2366 0.5814
F 0.1099 0.1448 0.1985
F 0.4489 0.6967 0.4403
F 0.5511 0.1967 0.5597
F 0.8901 0.6448 0.8015
F 0.9499 0.7366 0.4186

Results
Its symmetry is P2_1. The value obtained for the polymorph energy (0 for the lowest one) is 0.00 eV per formula unit.

***

VASP calculation (GGA+U) on a relaxed Fe2Br2F crystal.

a b c (Å): 6.3008 6.3008 6.3008
angles (deg): 137.23 137.23 62.09
Fractional coordinates of all 5 atoms:
Fe 0.2500 0.7500 0.5000
Fe 0.7500 0.2500 0.5000
Br 0.1446 0.1446 0.0000
Br 0.8554 0.8554 0.0000
F 0.5000 0.5000 0.0000

Results
Its symmetry is I4/mmm. The value obtained for the polymorph energy (0 for the lowest one) is 0.00 eV per formula unit.

***

VASP calculation (GGA+U) on a relaxed FeBrF3 crystal.

a b c (Å): 4.1112 4.1112 4.1112
angles (deg): 90.00 90.00 90.00
Fractional coordinates of all 5 atoms:
Fe 0.0000 0.0000 0.0000
Br 0.5000 0.5000 0.5000
F 0.0000 0.0000 0.5000
F 0.0000 0.5000 0.0000
F 0.5000 0.0000 0.0000

Results
Its symmetry is Pm-3m. The value obtained for the polymorph energy (0 for the lowest one) is 1.97 eV per formula unit.

***

VASP calculation (GGA+U) on a relaxed FeBr3F crystal.

a b c (Å): 4.9477 4.9477 4.9477
angles (deg): 90.00 90.00 90.00
Fractional coordinates of all 5 atoms:
Fe 0.0000 0.0000 0.0000
Br 0.0000 0.5000 0.5000
Br 0.5000 0.0000 0.5000
Br 0.5000 0.5000 0.0000
F 0.5000 0.5000 0.5000

Results
Its symmetry is Pm-3m. The value obtained for the polymorph energy (0 for the lowest one) is 2.69 eV per formula unit.

***

VASP calculation (GGA+U) on a relaxed Fe2BrF crystal.

a b c (Å): 4.4237 4.4237 4.4237
angles (deg): 60.00 60.00 60.00
Fractional coordinates of all 4 atoms:
Fe 0.2500 0.2500 0.2500
Fe 0.7500 0.7500 0.7500
Br 0.0000 0.0000 0.0000
F 0.5000 0.5000 0.5000

Results
Its symmetry is Fm-3m. The value obtained for the polymorph energy (0 for the lowest one) is 0.47 eV per formula unit.

***

VASP calculation (GGA+U) on a relaxed Fe2BrF crystal.

a b c (Å): 7.6965 7.6965 7.6965
angles (deg): 142.34 142.34 54.31
Fractional coordinates of all 8 atoms:
Fe 0.0055 0.6250 0.8805
Fe 0.3750 0.2555 0.3805
Fe 0.7445 0.1250 0.1195
Fe 0.8750 0.9945 0.6195
Br 0.2500 0.7500 0.5000
Br 0.5000 0.5000 0.0000
F 0.0000 0.0000 0.0000
F 0.7500 0.2500 0.5000

Results
Its symmetry is I-42d. The value obtained for the polymorph energy (0 for the lowest one) is 0.00 eV per formula unit.

***

VASP calculation (GGA+U) on a relaxed FeHgBrF4 crystal.

a b c (Å): 7.1098 7.1098 7.2538
angles (deg): 114.41 114.41 69.38
Fractional coordinates of all 14 atoms:
Fe 0.1247 0.1247 0.2324
Fe 0.8753 0.8753 0.7676
Hg 0.3109 0.3109 0.8362
Hg 0.6891 0.6891 0.1638
Br 0.4612 0.4612 0.2320
Br 0.5388 0.5388 0.7680
F 0.0160 0.4082 0.2619
F 0.0668 0.0668 0.9102
F 0.1423 0.1423 0.5105
F 0.4082 0.0160 0.2619
F 0.5918 0.9840 0.7381
F 0.8577 0.8577 0.4895
F 0.9332 0.9332 0.0898
F 0.9840 0.5918 0.7381

Results
Its symmetry is C2/m. The total energy is -3.888 eV per atom.

***

VASP calculation (GGA+U) on a relaxed FeIrBrF2 crystal.

a b c (Å): 4.1983 4.1983 5.2718
angles (deg): 90.00 90.00 90.00
Fractional coordinates of all 5 atoms:
Fe 0.0000 0.0000 0.0000
Ir 0.5000 0.5000 0.5000
Br 0.5000 0.5000 0.0000
F 0.0000 0.5000 0.5000
F 0.5000 0.0000 0.5000

Results
Its symmetry is P4/mmm. The total energy is -4.145 eV per atom.

***

VASP calculation (GGA+U) on a relaxed KFeBrF2 crystal.

a b c (Å): 4.2939 4.2939 5.2740
angles (deg): 90.00 90.00 90.00
Fractional coordinates of all 5 atoms:
K 0.0000 0.0000 0.0000
Fe 0.5000 0.5000 0.5000
Br 0.5000 0.5000 0.0000
F 0.0000 0.5000 0.5000
F 0.5000 0.0000 0.5000

Results
Its symmetry is P4/mmm. The value obtained for the polymorph energy (0 for the lowest one) is 1.40 eV per formula unit.

***

VASP calculation (GGA+U) on a relaxed KFeBrF2 crystal.

a b c (Å): 7.1435 4.3485 8.2516
angles (deg): 90.00 100.13 90.00
Fractional coordinates of all 10 atoms:
K 0.2446 0.2500 0.1133
K 0.7554 0.7500 0.8867
Fe 0.0680 0.2500 0.6490
Fe 0.9320 0.7500 0.3510
Br 0.4169 0.2500 0.7490
Br 0.5831 0.7500 0.2510
F 0.0082 0.7500 0.5995
F 0.0481 0.7500 0.1566
F 0.9519 0.2500 0.8434
F 0.9918 0.2500 0.4005

Results
Its symmetry is P2_1/m. The value obtained for the polymorph energy (0 for the lowest one) is 0.00 eV per formula unit.

***

VASP calculation (GGA+U) on a relaxed LaFeBr2F crystal.

a b c (Å): 5.7041 5.7041 5.9391
angles (deg): 90.00 90.00 90.00
Fractional coordinates of all 5 atoms:
La 0.0000 0.0000 0.0000
Fe 0.0000 0.0000 0.5000
Br 0.0000 0.5000 0.0000
Br 0.5000 0.0000 0.0000
F 0.5000 0.5000 0.5000

Results
Its symmetry is P4/mmm. The total energy is -3.682 eV per atom.